Entry 1:
First-principles (PBE) data for a relaxed Nd2SiGe3Ir4 crystal, as listed in the Alexandria database.

The structure belongs to space group P-4m2 (No. 115); the cell edges are 4.263, 4.263 and 10.115 Å and the angles 90.00°, 90.00° and 90.00°. The inequivalent atoms are Nd at (0.000, 0.500, 0.243), Si at (0.500, 0.500, 0.000), Ge at (0.000, 0.000, 0.000), Ge at (0.000, 0.500, 0.633), Ir at (0.000, 0.000, 0.500), Ir at (0.000, 0.500, 0.877) and Ir at (0.500, 0.500, 0.500).

As for the total energy: -7.25 eV per atom.

Entry 2:
First-principles (PBE) data for a relaxed Lu2PaCo crystal, as listed in the Alexandria database.

The structure belongs to space group R-3m (No. 166, hexagonal axes); the cell edges are 3.2373, 3.2373 and 31.1851 Å and the angles 90.00°, 90.00° and 120.00°. The inequivalent atoms are Lu at (0.0000, 0.0000, 0.0778), Pa at (0.0000, 0.0000, 0.5000) and Co at (0.0000, 0.0000, 0.0000).

The value obtained for the energy above the most stable polymorph in this dataset is 0.4944 eV per atom. As for the energy of formation: 0.475 eV per atom.

Entry 3:
First-principles (PBE) data for a relaxed SrInBi3 crystal, as listed in the Alexandria database.

The structure belongs to space group R3c (No. 161, hexagonal axes); the cell edges are 8.4428, 8.4428 and 17.3669 Å and the angles 90.00°, 90.00° and 120.00°. The inequivalent atoms are Sr at (0.0000, 0.0000, 0.0000), In at (0.0000, 0.0000, 0.3104) and Bi at (0.1304, 0.4084, 0.3369).

The value obtained for the energy above the most stable polymorph in this dataset is 0.0822 eV per atom. As for the energy of formation: -0.157 eV per atom.

Entry 4:
First-principles (PBE) data for a relaxed LiCaLa2Bi crystal, as listed in the Alexandria database.

The structure belongs to space group P4/mmm (No. 123); the cell edges are 5.976, 5.976 and 5.762 Å and the angles 90.00°, 90.00° and 90.00°. The inequivalent atoms are Li at (0.000, 0.000, 0.000), Ca at (0.500, 0.500, 0.500), La at (0.000, 0.500, 0.500) and Bi at (0.500, 0.500, 0.000).

As for the energy of formation: 0.548 eV per atom.

Entry 5:
First-principles (PBE) data for a relaxed ScSbSeN2 crystal, as listed in the Alexandria database.

The structure belongs to space group P4/mmm (No. 123); the cell edges are 4.051, 4.051 and 5.337 Å and the angles 90.00°, 90.00° and 90.00°. The inequivalent atoms are Sc at (0.000, 0.000, 0.000), Sb at (0.500, 0.500, 0.500), Se at (0.500, 0.500, 0.000) and N at (0.000, 0.500, 0.500).

As for the total energy: -5.60 eV per atom.

Entry 6:
First-principles (PBE) data for a relaxed AcLaP crystal, as listed in the Alexandria database.

The structure belongs to space group F-43m (No. 216); the cell edges are 7.202, 7.202 and 7.202 Å and the angles 90.00°, 90.00° and 90.00°. The inequivalent atoms are Ac at (0.000, 0.000, 0.000), La at (0.000, 0.000, 0.500) and P at (0.250, 0.250, 0.250).

The value obtained for the energy above the most stable polymorph in this dataset is 0.1264 eV per atom. As for the energy of formation: -0.786 eV per atom.

Entry 7:
First-principles (PBE) data for a relaxed LiCo2Ir crystal, as listed in the Alexandria database.

The structure belongs to space group P4/mmm (No. 123); the cell edges are 2.657, 2.657 and 6.827 Å and the angles 90.00°, 90.00° and 90.00°. The inequivalent atoms are Li at (0.000, 0.000, 0.000), Co at (0.500, 0.500, 0.251) and Ir at (0.000, 0.000, 0.500).

As for the energy of formation: 0.199 eV per atom.

Entry 8:
First-principles (PBE) data for a relaxed CdPdAu2 crystal, as listed in the Alexandria database.

The structure belongs to space group F-43m (No. 216); the cell edges are 6.588, 6.588 and 6.588 Å and the angles 90.00°, 90.00° and 90.00°. The inequivalent atoms are Cd at (0.000, 0.000, 0.000), Pd at (0.250, 0.250, 0.250), Au at (0.000, 0.000, 0.500) and Au at (0.250, 0.250, 0.750).

As for the energy of formation: -0.196 eV per atom.